PaTl2Re2N6 | PBE-GGA | optimized geometry

uncorrected formation energy: -2.5 eV per formula unit
symmetry: R-3m

a b c (Å): 7.148 7.148 7.148
angles (deg): 51.78 51.78 51.78
Fractional coordinates of all 11 atoms:
1 Pa 0.000 0.000 0.000
2 Tl 0.215 0.215 0.215
3 Tl 0.785 0.785 0.785
4 Re 0.429 0.429 0.429
5 Re 0.571 0.571 0.571
6 N 0.243 0.243 0.730
7 N 0.243 0.730 0.243
8 N 0.270 0.757 0.757
9 N 0.730 0.243 0.243
10 N 0.757 0.270 0.757
11 N 0.757 0.757 0.270